1.
Here is crystalline GaGeMo2 at its relaxed geometry from Alexandria via LeMat-Bulk. Energies are from PBE.

For the density, the calculation gives 8.262 g/cm³. The excess energy over the best structure of this formula in the dataset comes out at 480 meV per atom.

The structure belongs to space group I-42d (No. 122); the cell edges are 6.9850, 6.9850 and 5.5072 Å and the angles 90.00°, 90.00° and 90.00°. The inequivalent atoms are Ga at (0.0000, 0.0000, 0.0000), Ge at (0.0000, 0.0000, 0.5000) and Mo at (0.2335, 0.2500, 0.6250).

=====

2.
Here is crystalline PmNd3Sb4 at its relaxed geometry from Alexandria via LeMat-Bulk. Energies are from PBE.

The calculation puts the uncorrected formation energy at -27.53 kcal/mol of atoms. For the density, the calculation gives 6.796 g/cm³. The excess energy over the best structure of this formula in the dataset comes out at 0 meV per atom.

The structure belongs to space group Pm-3m (No. 221); the cell edges are 6.3838, 6.3838 and 6.3838 Å and the angles 90.00°, 90.00° and 90.00°. The inequivalent atoms are Pm at (0.0000, 0.0000, 0.0000), Nd at (0.0000, 0.5000, 0.5000), Sb at (0.0000, 0.0000, 0.5000) and Sb at (0.5000, 0.5000, 0.5000).

=====

3.
Here is crystalline MnAlRe2 at its relaxed geometry from Alexandria via LeMat-Bulk. Energies are from PBE.

The value obtained for the calculated total energy is -0.35082 hartree per atom. For the density, the calculation gives 13.743 g/cm³.

The structure belongs to space group Immm (No. 71); the cell edges are 3.0513, 4.2621 and 8.4422 Å and the angles 90.00°, 90.00° and 90.00°. The inequivalent atoms are Mn at (0.0000, 0.0000, 0.0000), Al at (0.0000, 0.0000, 0.5000) and Re at (0.0000, 0.5000, 0.2552).

=====

4.
Here is crystalline LaAl3 at its relaxed geometry from Alexandria via LeMat-Bulk. Energies are from PBE.

The value obtained for the calculated total energy is -0.14842 hartree per atom. For the density, the calculation gives 3.966 g/cm³.

The structure belongs to space group Pm-3n (No. 223); the cell edges are 5.6887, 5.6887 and 5.6887 Å and the angles 90.00°, 90.00° and 90.00°. The inequivalent atoms are La at (0.0000, 0.0000, 0.0000) and Al at (0.0000, 0.2500, 0.5000).